DFT (PBE) results for a relaxed YAu2I crystal.

Geometry as POSCAR:
```
YAu2I
1.0
8.439 0.000 0.000
0.000 8.439 0.000
0.000 0.000 5.947
Y Au I
4 8 4
Direct
0.000 0.000 0.000
0.000 0.500 0.250
0.500 0.000 0.750
0.500 0.500 0.500
0.233 0.750 0.125
0.250 0.233 0.875
0.250 0.267 0.375
0.267 0.750 0.625
0.733 0.250 0.625
0.750 0.733 0.375
0.750 0.767 0.875
0.767 0.250 0.125
0.000 0.000 0.500
0.000 0.500 0.750
0.500 0.000 0.250
0.500 0.500 0.000
```

crystal system: tetragonal
excess energy over the best structure of this formula in the dataset: 0.0 kJ/mol of atoms
E_tot: -65.954 eV per cell
space group: I-42d (122)



DFT (PBE) results for a relaxed YAu2I8 crystal.

Geometry as POSCAR:
```
YAu2I8
1.0
6.597 -6.452 0.000
6.597 6.452 0.000
-1.373 0.000 6.045
Y Au I
1 2 8
Direct
0.000 0.000 0.000
0.200 0.200 0.788
0.800 0.800 0.212
0.082 0.716 0.193
0.218 0.218 0.329
0.284 0.918 0.807
0.419 0.419 0.806
0.581 0.581 0.194
0.716 0.082 0.193
0.782 0.782 0.671
0.918 0.284 0.807
```

crystal system: monoclinic
E_tot: -30.199 eV per cell
space group: C2/m (12)



DFT (PBE) results for a relaxed YAu3I crystal.

Geometry as POSCAR:
```
YAu3I
1.0
5.533 0.000 0.000
0.000 5.533 0.000
0.000 0.000 5.533
Y Au I
1 3 1
Direct
0.000 0.000 0.000
0.000 0.000 0.500
0.000 0.500 0.000
0.500 0.000 0.000
0.500 0.500 0.500
```

crystal system: cubic
excess energy over the best structure of this formula in the dataset: 0.0 kJ/mol of atoms
E_tot: -15.918 eV per cell
space group: Pm-3m (221)



DFT (PBE) results for a relaxed YAu2I6 crystal.

Geometry as POSCAR:
```
YAu2I6
1.0
7.689 -7.328 0.000
7.689 7.328 0.000
-2.137 0.000 7.584
Y Au I
2 4 12
Direct
0.072 0.928 0.750
0.928 0.072 0.250
0.191 0.342 0.218
0.342 0.191 0.718
0.658 0.809 0.282
0.809 0.658 0.782
0.015 0.189 0.638
0.064 0.650 0.800
0.189 0.015 0.138
0.350 0.936 0.700
0.352 0.381 0.548
0.381 0.352 0.048
0.619 0.648 0.952
0.648 0.619 0.452
0.650 0.064 0.300
0.811 0.985 0.862
0.936 0.350 0.200
0.985 0.811 0.362
```

crystal system: monoclinic
E_tot: -55.251 eV per cell
space group: C2/c (15)



DFT (PBE) results for a relaxed Y3AuI3 crystal.

Geometry as POSCAR:
```
Y3AuI3
1.0
-6.168 6.168 6.168
6.168 -6.168 6.168
6.168 6.168 -6.168
Y Au I
12 4 12
Direct
0.019 0.038 0.269
0.019 0.481 0.750
0.038 0.269 0.019
0.231 0.269 0.750
0.231 0.462 0.481
0.269 0.019 0.038
0.269 0.750 0.231
0.462 0.481 0.231
0.481 0.231 0.462
0.481 0.750 0.019
0.750 0.019 0.481
0.750 0.231 0.269
0.000 0.250 0.500
0.250 0.250 0.250
0.250 0.500 0.000
0.500 0.000 0.250
0.250 0.757 0.743
0.250 0.993 0.507
0.507 0.250 0.993
0.507 0.757 0.514
0.514 0.507 0.757
0.743 0.250 0.757
0.743 0.993 0.986
0.757 0.514 0.507
0.757 0.743 0.250
0.986 0.743 0.993
0.993 0.507 0.250
0.993 0.986 0.743
```

crystal system: cubic
E_tot: -138.622 eV per cell
space group: I4_132 (214)



DFT (PBE) results for a relaxed YAu3I crystal.

Geometry as POSCAR:
```
YAu3I
1.0
5.289 0.000 0.000
0.000 5.289 0.000
0.000 0.000 5.289
Y Au I
1 3 1
Direct
0.000 0.000 0.000
0.000 0.500 0.500
0.500 0.000 0.500
0.500 0.500 0.000
0.500 0.500 0.500
```

crystal system: cubic
excess energy over the best structure of this formula in the dataset: 22.4 kJ/mol of atoms
E_tot: -14.756 eV per cell
space group: Pm-3m (221)



DFT (PBE) results for a relaxed Y2AuI8 crystal.

Geometry as POSCAR:
```
Y2AuI8
1.0
8.157 -3.797 0.000
8.157 3.797 0.000
-3.016 0.000 10.199
Y Au I
2 1 8
Direct
0.227 0.227 0.314
0.773 0.773 0.686
0.000 0.000 0.000
0.144 0.631 0.867
0.206 0.206 0.577
0.369 0.856 0.133
0.394 0.394 0.285
0.606 0.606 0.715
0.631 0.144 0.867
0.794 0.794 0.423
0.856 0.369 0.133
```

crystal system: monoclinic
E_tot: -38.282 eV per cell
space group: C2/m (12)



DFT (PBE) results for a relaxed YAu2I crystal.

Geometry as POSCAR:
```
YAu2I
1.0
7.333 0.000 0.000
0.000 7.333 0.000
0.000 0.000 7.333
Y Au I
4 8 4
Direct
0.000 0.000 0.000
0.000 0.500 0.500
0.500 0.000 0.500
0.500 0.500 0.000
0.250 0.250 0.250
0.250 0.250 0.750
0.250 0.750 0.250
0.250 0.750 0.750
0.750 0.250 0.250
0.750 0.250 0.750
0.750 0.750 0.250
0.750 0.750 0.750
0.000 0.000 0.500
0.000 0.500 0.000
0.500 0.000 0.000
0.500 0.500 0.500
```

crystal system: cubic
excess energy over the best structure of this formula in the dataset: 14.0 kJ/mol of atoms
E_tot: -63.627 eV per cell
space group: Fm-3m (225)



DFT (PBE) results for a relaxed Y2Au2I crystal.

Geometry as POSCAR:
```
Y2Au2I
1.0
8.252 0.000 0.000
0.000 8.252 0.000
0.000 0.000 3.870
Y Au I
4 4 2
Direct
0.161 0.339 0.000
0.339 0.839 0.000
0.661 0.161 0.000
0.839 0.661 0.000
0.129 0.629 0.500
0.371 0.129 0.500
0.629 0.871 0.500
0.871 0.371 0.500
0.000 0.000 0.000
0.500 0.500 0.000
```

crystal system: tetragonal
excess energy over the best structure of this formula in the dataset: 0.0 kJ/mol of atoms
E_tot: -49.775 eV per cell
space group: P4/mbm (127)



DFT (PBE) results for a relaxed Y4AuI5 crystal.

Geometry as POSCAR:
```
Y4AuI5
1.0
9.672 -2.100 0.000
9.672 2.100 0.000
-1.951 0.000 8.754
Y Au I
4 1 5
Direct
0.001 0.001 0.215
0.352 0.352 0.924
0.648 0.648 0.076
0.999 0.999 0.785
0.500 0.500 0.000
0.169 0.169 0.341
0.176 0.176 0.831
0.500 0.500 0.500
0.824 0.824 0.169
0.831 0.831 0.659
```

crystal system: monoclinic
E_tot: -48.046 eV per cell
space group: C2/m (12)



DFT (PBE) results for a relaxed YAuI crystal.

Geometry as POSCAR:
```
YAuI
1.0
15.143 0.000 0.000
0.000 4.013 0.000
-3.205 0.000 8.322
Y Au I
4 4 4
Direct
0.166 0.000 0.319
0.334 0.500 0.681
0.666 0.500 0.319
0.834 0.000 0.681
0.242 0.500 0.888
0.258 0.000 0.112
0.742 0.000 0.888
0.758 0.500 0.112
0.007 0.500 0.258
0.493 0.000 0.742
0.507 0.000 0.258
0.993 0.500 0.742
```

crystal system: monoclinic
E_tot: -48.816 eV per cell
space group: C2/m (12)



DFT (PBE) results for a relaxed YZnAu2I crystal.

Geometry as POSCAR:
```
YZnAu2I
1.0
4.880 0.000 0.000
0.000 4.880 0.000
0.000 0.000 5.510
Y Zn Au I
1 1 2 1
Direct
0.000 0.000 0.000
0.500 0.500 0.500
0.000 0.500 0.500
0.500 0.000 0.500
0.500 0.500 0.000
```

crystal system: tetragonal
E_tot: -15.827 eV per cell
space group: P4/mmm (123)



DFT (PBE) results for a relaxed YZrAu2I crystal.

Geometry as POSCAR:
```
YZrAu2I
1.0
5.250 0.000 0.000
0.000 5.250 0.000
0.000 0.000 5.496
Y Zr Au I
1 1 2 1
Direct
0.000 0.000 0.000
0.500 0.500 0.000
0.000 0.500 0.500
0.500 0.000 0.500
0.000 0.000 0.500
```

crystal system: tetragonal
E_tot: -18.902 eV per cell
space group: P4/mmm (123)



DFT (PBE) results for a relaxed ZnAuI2 crystal.

Geometry as POSCAR:
```
ZnAuI2
1.0
7.535 0.000 0.000
0.000 7.535 0.000
0.000 0.000 7.535
Zn Au I
4 4 8
Direct
0.000 0.000 0.000
0.000 0.500 0.500
0.500 0.000 0.500
0.500 0.500 0.000
0.000 0.000 0.500
0.000 0.500 0.000
0.500 0.000 0.000
0.500 0.500 0.500
0.250 0.250 0.250
0.250 0.250 0.750
0.250 0.750 0.250
0.250 0.750 0.750
0.750 0.250 0.250
0.750 0.250 0.750
0.750 0.750 0.250
0.750 0.750 0.750
```

crystal system: cubic
excess energy over the best structure of this formula in the dataset: 28.0 kJ/mol of atoms
E_tot: -24.765 eV per cell
space group: Fm-3m (225)



DFT (PBE) results for a relaxed Zn2AuI crystal.

Geometry as POSCAR:
```
Zn2AuI
1.0
7.079 0.000 0.000
0.000 7.079 0.000
0.000 0.000 7.079
Zn Au I
8 4 4
Direct
0.250 0.250 0.250
0.250 0.250 0.750
0.250 0.750 0.250
0.250 0.750 0.750
0.750 0.250 0.250
0.750 0.250 0.750
0.750 0.750 0.250
0.750 0.750 0.750
0.000 0.000 0.000
0.000 0.500 0.500
0.500 0.000 0.500
0.500 0.500 0.000
0.000 0.000 0.500
0.000 0.500 0.000
0.500 0.000 0.000
0.500 0.500 0.500
```

crystal system: cubic
excess energy over the best structure of this formula in the dataset: 35.1 kJ/mol of atoms
E_tot: -23.276 eV per cell
space group: Fm-3m (225)



DFT (PBE) results for a relaxed ZnAu2I8 crystal.

Geometry as POSCAR:
```
ZnAu2I8
1.0
7.242 -4.141 0.000
7.242 4.141 0.000
-5.108 0.000 8.906
Zn Au I
1 2 8
Direct
0.000 0.000 0.000
0.274 0.274 0.389
0.726 0.726 0.611
0.147 0.633 0.851
0.196 0.196 0.571
0.367 0.853 0.149
0.379 0.379 0.248
0.621 0.621 0.752
0.633 0.147 0.851
0.804 0.804 0.429
0.853 0.367 0.149
```

crystal system: monoclinic
E_tot: -20.103 eV per cell
space group: C2/m (12)



DFT (PBE) results for a relaxed Zn2AuI crystal.

Geometry as POSCAR:
```
Zn2AuI
1.0
7.020 0.000 0.000
0.000 7.020 0.000
0.000 0.000 9.002
Zn Au I
8 4 4
Direct
0.208 0.250 0.125
0.250 0.708 0.375
0.250 0.792 0.875
0.292 0.250 0.625
0.708 0.750 0.625
0.750 0.208 0.875
0.750 0.292 0.375
0.792 0.750 0.125
0.000 0.000 0.000
0.000 0.500 0.250
0.500 0.000 0.750
0.500 0.500 0.500
0.000 0.000 0.500
0.000 0.500 0.750
0.500 0.000 0.250
0.500 0.500 0.000
```

crystal system: tetragonal
excess energy over the best structure of this formula in the dataset: 0.0 kJ/mol of atoms
E_tot: -29.103 eV per cell
space group: I-42d (122)



DFT (PBE) results for a relaxed ZnAu2I5 crystal.

Geometry as POSCAR:
```
ZnAu2I5
1.0
15.615 0.000 0.000
0.000 7.885 0.000
-3.967 0.000 6.813
Zn Au I
2 4 10
Direct
0.000 0.000 0.000
0.500 0.500 0.000
0.410 0.000 0.908
0.410 0.500 0.409
0.910 0.000 0.409
0.910 0.500 0.908
0.186 0.000 0.192
0.422 0.261 0.160
0.422 0.739 0.160
0.427 0.260 0.686
0.427 0.740 0.686
0.686 0.500 0.192
0.922 0.239 0.160
0.922 0.761 0.160
0.927 0.240 0.686
0.927 0.760 0.686
```

crystal system: monoclinic
E_tot: -33.096 eV per cell
space group: Cm (8)



DFT (PBE) results for a relaxed ZnAuI2 crystal.

Geometry as POSCAR:
```
ZnAuI2
1.0
6.562 0.000 0.000
0.000 6.562 0.000
0.000 0.000 13.694
Zn Au I
4 4 8
Direct
0.000 0.000 0.000
0.000 0.500 0.250
0.500 0.000 0.750
0.500 0.500 0.500
0.000 0.000 0.500
0.000 0.500 0.750
0.500 0.000 0.250
0.500 0.500 0.000
0.245 0.250 0.625
0.250 0.745 0.875
0.250 0.755 0.375
0.255 0.250 0.125
0.745 0.750 0.125
0.750 0.245 0.375
0.750 0.255 0.875
0.755 0.750 0.625
```

crystal system: tetragonal
excess energy over the best structure of this formula in the dataset: 0.0 kJ/mol of atoms
E_tot: -29.403 eV per cell
space group: I-42d (122)



DFT (PBE) results for a relaxed Zn2Au2I crystal.

Geometry as POSCAR:
```
Zn2Au2I
1.0
4.124 0.000 0.000
0.000 4.124 0.000
0.000 0.000 12.620
Zn Au I
4 4 2
Direct
0.000 0.500 0.250
0.000 0.500 0.750
0.500 0.000 0.250
0.500 0.000 0.750
0.000 0.000 0.120
0.000 0.000 0.880
0.500 0.500 0.380
0.500 0.500 0.620
0.000 0.000 0.500
0.500 0.500 0.000
```

crystal system: tetragonal
excess energy over the best structure of this formula in the dataset: 0.0 kJ/mol of atoms
E_tot: -21.647 eV per cell
space group: I4/mmm (139)



no.,E_form (uncorrected) (kJ per mole of atoms)
1,-46
2,-42
3,37
4,-57
5,-101
6,60
7,-85
8,-32
9,-74
10,-108
11,-29
12,0
13,81
14,35
15,38
16,1
17,2
18,-12
19,7
20,-3